# Y3HoTm (PBE, optimized geometry)
data_Y3HoTm
_cell_length_a 5.4241
_cell_length_b 16.6444
_cell_length_c 7.0325
_cell_angle_alpha 90.00
_cell_angle_beta 90.00
_cell_angle_gamma 90.00
_symmetry_space_group_name_H-M 'C m c 21'
_symmetry_Int_Tables_number 36
loop_
_symmetry_equiv_pos_as_xyz
'x,y,z'
'-x,-y,z+1/2'
'-x,y,z'
'x,-y,z+1/2'
'x+1/2,y+1/2,z'
'-x+1/2,-y+1/2,z+1/2'
'-x+1/2,y+1/2,z'
'x+1/2,-y+1/2,z+1/2'
loop_
_atom_site_label
_atom_site_type_symbol
_atom_site_fract_x
_atom_site_fract_y
_atom_site_fract_z
_atom_site_occupancy
Y1 Y 0.0000 0.0007 0.0000 1
Y2 Y 0.0000 0.2001 0.4993 1
Y3 Y 0.0000 0.3911 0.2501 1
Ho1 Ho 0.0000 0.1994 0.0001 1
Tm1 Tm 0.0000 0.3893 0.7492 1
# Distance to the lowest polymorph of the same formula (meV/atom): 52

The following is a DFT calculation (PBE) of crystalline Y2Ho3Tm6 at its relaxed geometry.

CIF file:
```
data_Y2Ho3Tm6
_cell_length_a 4.6682
_cell_length_b 4.6682
_cell_length_c 33.0037
_cell_angle_alpha 90.00
_cell_angle_beta 90.00
_cell_angle_gamma 90.00
_symmetry_space_group_name_H-M 'I 4/m m m'
_symmetry_Int_Tables_number 139
_symmetry_space_group_name_Hall '-I 4 2'
loop_
_atom_site_label
_atom_site_type_symbol
_atom_site_fract_x
_atom_site_fract_y
_atom_site_fract_z
_atom_site_occupancy
Y1 Y 0.0000 0.0000 0.0466 1
Ho1 Ho 0.0000 0.0000 0.2988 1
Ho2 Ho 0.0000 0.0000 0.5000 1
Tm1 Tm 0.0000 0.0000 0.1959 1
Tm2 Tm 0.0000 0.5000 0.1228 1
```

Number 1: calculated formation energy 0.05 eV/atom. Number 2: calculated formation energy 0.29 eV/atom.